Record 1
A relaxed LaYC2 crystal. Source: Alexandria via LeMat-Bulk, functional PBE-GGA.

```
data_LaYC2
_cell_length_a 4.520
_cell_length_b 4.520
_cell_length_c 4.520
_cell_angle_alpha 60.00
_cell_angle_beta 60.00
_cell_angle_gamma 60.00
_symmetry_space_group_name_H-M 'P 1'
_symmetry_Int_Tables_number 1
_symmetry_space_group_name_Hall 'P 1'
loop_
_atom_site_label
_atom_site_type_symbol
_atom_site_fract_x
_atom_site_fract_y
_atom_site_fract_z
_atom_site_occupancy
La1 La 0.000 0.000 0.000 1
Y1 Y 0.500 0.500 0.500 1
C1 C 0.250 0.250 0.250 1
C2 C 0.750 0.750 0.750 1
```

Values from the calculation:
V in Å³/f.u.: 65.3
Formation enthalpy at 0 K in eV/f.u.: 2.5
ρ in g cm⁻³: 6.40
Space-group type: Fm-3m, No. 225

Record 2
A relaxed Ho3InP2Rh9 crystal. Source: Alexandria via LeMat-Bulk, functional PBE-GGA.

```
data_Ho3InP2Rh9
_cell_length_a 6.034
_cell_length_b 6.034
_cell_length_c 9.458
_cell_angle_alpha 90.00
_cell_angle_beta 90.00
_cell_angle_gamma 120.00
_symmetry_space_group_name_H-M 'P 1'
_symmetry_Int_Tables_number 1
_symmetry_space_group_name_Hall 'P 1'
loop_
_atom_site_label
_atom_site_type_symbol
_atom_site_fract_x
_atom_site_fract_y
_atom_site_fract_z
_atom_site_occupancy
Ho1 Ho 0.000 0.000 0.000 1
Ho2 Ho 0.333 0.667 0.735 1
Ho3 Ho 0.667 0.333 0.265 1
In1 In 0.000 0.000 0.500 1
P1 P 0.333 0.667 0.158 1
P2 P 0.667 0.333 0.842 1
Rh1 Rh 0.000 0.500 0.000 1
Rh2 Rh 0.148 0.296 0.261 1
Rh3 Rh 0.148 0.852 0.261 1
Rh4 Rh 0.296 0.148 0.739 1
Rh5 Rh 0.500 0.000 0.000 1
Rh6 Rh 0.500 0.500 0.000 1
Rh7 Rh 0.704 0.852 0.261 1
Rh8 Rh 0.852 0.148 0.739 1
Rh9 Rh 0.852 0.704 0.739 1
```

Values from the calculation:
V in Å³/f.u.: 298.3
Formation enthalpy at 0 K in eV/f.u.: -9.4
ρ in g cm⁻³: 8.89
Space-group type: P-3m1, No. 164

Record 3
A relaxed TmSi2Ni2Ru crystal. Source: Alexandria via LeMat-Bulk, functional PBE-GGA.

```
data_TmSi2Ni2Ru
_cell_length_a 4.452
_cell_length_b 4.452
_cell_length_c 5.233
_cell_angle_alpha 90.00
_cell_angle_beta 90.00
_cell_angle_gamma 90.00
_symmetry_space_group_name_H-M 'P 1'
_symmetry_Int_Tables_number 1
_symmetry_space_group_name_Hall 'P 1'
loop_
_atom_site_label
_atom_site_type_symbol
_atom_site_fract_x
_atom_site_fract_y
_atom_site_fract_z
_atom_site_occupancy
Tm1 Tm 0.000 0.000 0.000 1
Si1 Si 0.000 0.500 0.500 1
Si2 Si 0.500 0.000 0.500 1
Ni1 Ni 0.500 0.500 0.252 1
Ni2 Ni 0.500 0.500 0.748 1
Ru1 Ru 0.000 0.000 0.500 1
```

Values from the calculation:
V in Å³/f.u.: 103.7
Formation energy without anion corrections in eV per formula unit: -0.52
ρ in g cm⁻³: 7.10
Space-group type: P4/mmm, No. 123

Record 4
A relaxed AcCdF2 crystal. Source: Alexandria via LeMat-Bulk, functional PBE-GGA.

```
data_AcCdF2
_cell_length_a 8.958
_cell_length_b 8.958
_cell_length_c 8.958
_cell_angle_alpha 25.66
_cell_angle_beta 25.66
_cell_angle_gamma 25.66
_symmetry_space_group_name_H-M 'P 1'
_symmetry_Int_Tables_number 1
_symmetry_space_group_name_Hall 'P 1'
loop_
_atom_site_label
_atom_site_type_symbol
_atom_site_fract_x
_atom_site_fract_y
_atom_site_fract_z
_atom_site_occupancy
Ac1 Ac 0.000 0.000 0.000 1
Cd1 Cd 0.500 0.500 0.500 1
F1 F 0.087 0.087 0.087 1
F2 F 0.913 0.913 0.913 1
```

Values from the calculation:
V in Å³/f.u.: 118.7
Formation energy without anion corrections in eV per formula unit: -7.55
ρ in g cm⁻³: 5.28
Space-group type: R-3m, No. 166

Record 5
A relaxed TmSF crystal. Source: Alexandria via LeMat-Bulk, functional PBE-GGA.

```
data_TmSF
_cell_length_a 3.863
_cell_length_b 3.863
_cell_length_c 3.787
_cell_angle_alpha 90.00
_cell_angle_beta 90.00
_cell_angle_gamma 120.00
_symmetry_space_group_name_H-M 'P 1'
_symmetry_Int_Tables_number 1
_symmetry_space_group_name_Hall 'P 1'
loop_
_atom_site_label
_atom_site_type_symbol
_atom_site_fract_x
_atom_site_fract_y
_atom_site_fract_z
_atom_site_occupancy
Tm1 Tm 0.000 0.000 0.000 1
S1 S 0.667 0.333 0.500 1
F1 F 0.333 0.667 0.000 1
```

Values from the calculation:
V in Å³/f.u.: 49.0
Formation energy without anion corrections in eV per formula unit: -8.81
ρ in g cm⁻³: 7.46
Space-group type: P-6m2, No. 187

Record 6
A relaxed HgPt2SF crystal. Source: Alexandria via LeMat-Bulk, functional PBE-GGA.

```
data_HgPt2SF
_cell_length_a 4.343
_cell_length_b 4.343
_cell_length_c 4.972
_cell_angle_alpha 90.00
_cell_angle_beta 90.00
_cell_angle_gamma 90.00
_symmetry_space_group_name_H-M 'P 1'
_symmetry_Int_Tables_number 1
_symmetry_space_group_name_Hall 'P 1'
loop_
_atom_site_label
_atom_site_type_symbol
_atom_site_fract_x
_atom_site_fract_y
_atom_site_fract_z
_atom_site_occupancy
Hg1 Hg 0.000 0.000 0.000 1
Pt1 Pt 0.000 0.500 0.500 1
Pt2 Pt 0.500 0.000 0.500 1
S1 S 0.500 0.500 0.000 1
F1 F 0.000 0.000 0.500 1
```

Values from the calculation:
V in Å³/f.u.: 93.8
Formation energy without anion corrections in eV per formula unit: 3.83
ρ in g cm⁻³: 11.37
Space-group type: P4/mmm, No. 123

Record 7
A relaxed U2PdSe5 crystal. Source: Alexandria via LeMat-Bulk, functional PBE-GGA.

```
data_U2PdSe5
_cell_length_a 7.347
_cell_length_b 7.347
_cell_length_c 12.956
_cell_angle_alpha 90.00
_cell_angle_beta 90.00
_cell_angle_gamma 136.15
_symmetry_space_group_name_H-M 'P 1'
_symmetry_Int_Tables_number 1
_symmetry_space_group_name_Hall 'P 1'
loop_
_atom_site_label
_atom_site_type_symbol
_atom_site_fract_x
_atom_site_fract_y
_atom_site_fract_z
_atom_site_occupancy
U1 U 0.140 0.860 0.559 1
U2 U 0.140 0.860 0.941 1
U3 U 0.860 0.140 0.059 1
U4 U 0.860 0.140 0.441 1
Pd1 Pd 0.303 0.697 0.250 1
Pd2 Pd 0.697 0.303 0.750 1
Se1 Se 0.048 0.952 0.124 1
Se2 Se 0.048 0.952 0.376 1
Se3 Se 0.230 0.770 0.750 1
Se4 Se 0.327 0.673 0.056 1
Se5 Se 0.327 0.673 0.444 1
Se6 Se 0.673 0.327 0.556 1
Se7 Se 0.673 0.327 0.944 1
Se8 Se 0.770 0.230 0.250 1
Se9 Se 0.952 0.048 0.624 1
Se10 Se 0.952 0.048 0.876 1
```

Values from the calculation:
V in Å³/f.u.: 242.3
Formation energy without anion corrections in eV per formula unit: -6.61
ρ in g cm⁻³: 6.70
Space-group type: Cmcm, No. 63

Record 8
A relaxed Si2MoIr crystal. Source: Alexandria via LeMat-Bulk, functional PBE-GGA.

```
data_Si2MoIr
_cell_length_a 3.207
_cell_length_b 3.207
_cell_length_c 5.502
_cell_angle_alpha 90.00
_cell_angle_beta 90.00
_cell_angle_gamma 90.00
_symmetry_space_group_name_H-M 'P 1'
_symmetry_Int_Tables_number 1
_symmetry_space_group_name_Hall 'P 1'
loop_
_atom_site_label
_atom_site_type_symbol
_atom_site_fract_x
_atom_site_fract_y
_atom_site_fract_z
_atom_site_occupancy
Si1 Si 0.000 0.000 0.000 1
Si2 Si 0.500 0.500 0.266 1
Mo1 Mo 0.500 0.500 0.800 1
Ir1 Ir 0.000 0.000 0.456 1
```

Values from the calculation:
V in Å³/f.u.: 56.6
Formation energy without anion corrections in eV per formula unit: -1.35
ρ in g cm⁻³: 10.10
Space-group type: P4mm, No. 99

> Number 2 is which compound?

Ho3InP2Rh9

> Look up the V of the fifth one.

49.0 Å³/f.u.

> Which of these has the lowest V?

TmSF